Entry 1:
16
Lattice="-4.4460 2.3957 -4.6883 -1.8418 -1.9905 6.3349 1.6016 10.0851 3.6345" Properties=species:S:1:pos:R:3 comment="KBaMg14 PBE optimized geometry" sg="Amm2 (38)" delta_e_f_ev_per_fu=2.06 dft_energy_ev_per_atom=-1.455 crystal_system=orthorhombic pbc="T T T"
Mg -4.9331 0.6755 0.2995
Mg -1.8759 1.1460 5.4329
Mg -1.0459 6.3726 7.3165
Mg -2.6888 -0.5639 2.7496
Mg -1.7963 0.4734 -0.5220
Mg -2.3572 8.5198 1.7808
Mg -3.2747 7.7914 4.8847
Mg -0.9713 5.5073 1.3085
Mg -4.1566 2.2385 2.8836
Mg -4.1477 5.7120 2.1404
Mg -1.0180 2.0363 2.0616
Mg -3.1719 3.3902 -0.0679
Mg -0.1362 7.5891 4.0628
Mg -3.9913 1.6298 -2.7636
Ba -1.9101 4.5158 4.4734
K -3.2174 6.7178 -1.0605


Entry 2:
5
Lattice="-0.3349 -4.6255 -0.1015 1.1034 0.0223 -4.6575 4.7575 -0.4231 3.5846" Properties=species:S:1:pos:R:3 comment="PmMg3Pt PBE optimized geometry" relative_energy_mev_per_atom=79 sg="Amm2 (38)" delta_e_f_ev_per_fu=-2.23 dft_energy_ev_per_atom=-3.560 crystal_system=orthorhombic pbc="T T T"
Mg 2.7569 -0.2139 0.6521
Mg 0.8978 -0.0157 -2.2469
Mg 3.0091 -2.5053 -1.7587
Pt 3.9015 -2.6285 0.9117
Pm 0.2306 -2.3437 0.0434


Entry 3:
3
Lattice="3.8841 0.0000 0.0000 1.9420 3.3637 0.0000 1.9420 1.1212 3.1714" Properties=species:S:1:pos:R:3 comment="GaCoP PBE optimized geometry" relative_energy_mev_per_atom=0 sg="F-43m (216)" delta_e_f_ev_per_fu=-0.80 dft_energy_ev_per_atom=-5.447 crystal_system=cubic pbc="T T T"
P 0.0000 0.0000 0.0000
Ga 3.8841 2.2425 1.5857
Co 1.9420 1.1212 0.7928


How do the records compare in magnetization? In the order shown, they have 0.000; 0.000; 0.000 μB per formula unit.